## SrLaSn2Pd5 (PBE)

Data for a geometry-optimized SrLaSn2Pd5 structure.

Cell and atoms, written as CIF:
```
data_SrLaSn2Pd5
_chemical_formula_sum 'Sr1 La1 Sn2 Pd5'
_space_group_name_H-M_alt 'P 1'
_space_group_IT_number 1
_space_group_name_Hall 'P 1'
_cell_length_a 4.755
_cell_length_b 4.755
_cell_length_c 8.750
_cell_angle_alpha 90.00
_cell_angle_beta 90.00
_cell_angle_gamma 90.00
loop_
_atom_site_label
_atom_site_type_symbol
_atom_site_fract_x
_atom_site_fract_y
_atom_site_fract_z
Pd1 Pd 0.500 0.000 0.286
Pd2 Pd 0.500 0.000 0.714
Pd3 Pd 0.000 0.500 0.286
Pd4 Pd 0.000 0.500 0.714
Pd5 Pd 0.500 0.500 0.500
Sn1 Sn 0.500 0.500 0.837
Sn2 Sn 0.500 0.500 0.163
Sr1 Sr 0.000 0.000 0.500
La1 La 0.000 0.000 0.000
```

Formation energy from the elements (eV/atom): -0.6282
Total DFT energy (no corrections) (eV/atom): -5.1370
Theoretical density (g cm⁻³): 8.4